Version P
The following is a DFT calculation (GGA-PBEsol) of SrCoRu2 after structural relaxation.

```
data_SrCoRu2
_chemical_formula_sum 'Sr2 Co2 Ru4'
_space_group_name_H-M_alt 'P 1'
_space_group_IT_number 1
_space_group_name_Hall 'P 1'
_cell_length_a 5.482
_cell_length_b 8.774
_cell_length_c 2.619
_cell_angle_alpha 90.00
_cell_angle_beta 90.00
_cell_angle_gamma 90.00
loop_
_atom_site_label
_atom_site_type_symbol
_atom_site_fract_x
_atom_site_fract_y
_atom_site_fract_z
Sr1 Sr 0.000 0.000 0.000
Sr2 Sr 0.500 0.500 0.000
Co1 Co 0.000 0.500 0.000
Co2 Co 0.500 0.000 0.000
Ru1 Ru 0.250 0.250 0.500
Ru2 Ru 0.250 0.750 0.500
Ru3 Ru 0.750 0.250 0.500
Ru4 Ru 0.750 0.750 0.500
```

Output
Size of the total moment, μB per atom: 0.2345

---

Version Q
The following is a DFT calculation (GGA-PBEsol) of SrCoRu2 after structural relaxation.

```
data_SrCoRu2
_chemical_formula_sum 'Sr4 Co4 Ru8'
_space_group_name_H-M_alt 'P 1'
_space_group_IT_number 1
_space_group_name_Hall 'P 1'
_cell_length_a 6.339
_cell_length_b 6.339
_cell_length_c 6.339
_cell_angle_alpha 90.00
_cell_angle_beta 90.00
_cell_angle_gamma 90.00
loop_
_atom_site_label
_atom_site_type_symbol
_atom_site_fract_x
_atom_site_fract_y
_atom_site_fract_z
Sr1 Sr 0.000 0.000 0.000
Sr2 Sr 0.000 0.500 0.500
Sr3 Sr 0.500 0.000 0.500
Sr4 Sr 0.500 0.500 0.000
Co1 Co 0.000 0.000 0.500
Co2 Co 0.000 0.500 0.000
Co3 Co 0.500 0.000 0.000
Co4 Co 0.500 0.500 0.500
Ru1 Ru 0.250 0.250 0.250
Ru2 Ru 0.250 0.250 0.750
Ru3 Ru 0.250 0.750 0.250
Ru4 Ru 0.250 0.750 0.750
Ru5 Ru 0.750 0.250 0.250
Ru6 Ru 0.750 0.250 0.750
Ru7 Ru 0.750 0.750 0.250
Ru8 Ru 0.750 0.750 0.750
```

Output
Size of the total moment, μB per atom: 1.0612

---

Version R
The following is a DFT calculation (GGA-PBEsol) of SrCoRu2 after structural relaxation.

```
data_SrCoRu2
_chemical_formula_sum 'Sr2 Co2 Ru4'
_space_group_name_H-M_alt 'P 1'
_space_group_IT_number 1
_space_group_name_Hall 'P 1'
_cell_length_a 2.733
_cell_length_b 4.605
_cell_length_c 9.959
_cell_angle_alpha 90.00
_cell_angle_beta 90.00
_cell_angle_gamma 90.00
loop_
_atom_site_label
_atom_site_type_symbol
_atom_site_fract_x
_atom_site_fract_y
_atom_site_fract_z
Sr1 Sr 0.000 0.000 0.000
Sr2 Sr 0.500 0.500 0.500
Co1 Co 0.000 0.000 0.500
Co2 Co 0.500 0.500 0.000
Ru1 Ru 0.000 0.500 0.212
Ru2 Ru 0.000 0.500 0.788
Ru3 Ru 0.500 0.000 0.288
Ru4 Ru 0.500 0.000 0.712
```

Output
Size of the total moment, μB per atom: 0.0004

---

Quick one: least stable of them? version P